# 1
This record from Alexandria describes a relaxed Ti3SnHg crystal. The functional is PBE.

Cell: 4.8960 5.6543 8.1236 Å, 90.03 90.00 115.65°
Positions (direct):
Ti1 0.1299 0.2598 0.5348
Ti2 0.3167 0.6333 0.2682
Ti3 0.9545 0.9091 0.7960
Ti4 0.0455 0.0909 0.2040
Ti5 0.8701 0.7402 0.4652
Ti6 0.6833 0.3667 0.7318
Hg1 0.7896 0.5791 0.0821
Hg2 0.2104 0.4209 0.9179
Sn1 0.4004 0.8009 0.6416
Sn2 0.5996 0.1991 0.3584

Calculated values
- M_tot: 0.99 μB per cell
- E above lowest polymorph: 0 meV/atom
- ΔH_f (0 K): 0.04 eV per atom
- VASP energy: -5.56 eV/atom
- Crystal system: monoclinic

# 2
This record from Alexandria describes a relaxed Dy3ZnHg5 crystal. The functional is PBE.

Cell: 6.2347 8.9158 8.9159 Å, 120.00 90.00 90.00°
Positions (direct):
Hg1 0.5000 0.6667 0.3333
Hg2 0.7500 0.3243 0.0000
Hg3 0.2500 0.6757 0.0000
Hg4 0.5000 0.3333 0.6667
Hg5 0.2500 0.0000 0.6757
Hg6 0.7500 0.0000 0.3243
Hg7 0.0000 0.3333 0.6667
Hg8 0.7500 0.6757 0.6757
Hg9 0.2500 0.3243 0.3243
Hg10 0.0000 0.6667 0.3333
Zn1 0.0000 0.0000 0.0000
Zn2 0.5000 0.0000 0.0000
Dy1 0.2500 0.3354 0.0000
Dy2 0.7500 0.6646 0.0000
Dy3 0.2500 0.6646 0.6646
Dy4 0.7500 0.0000 0.6646
Dy5 0.7500 0.3354 0.3354
Dy6 0.2500 0.0000 0.3354

Calculated values
- M_tot: 0.00 μB per cell
- ΔH_f (0 K): -0.37 eV per atom
- VASP energy: -2.22 eV/atom
- Crystal system: hexagonal

# 3
This record from Alexandria describes a relaxed Ca2AgF crystal. The functional is PBE.

Cell: 3.5139 3.5139 9.4480 Å, 79.28 79.28 60.00°
Positions (direct):
Ag1 0.0000 0.0000 0.0000
Ca1 0.1058 0.1058 0.6826
Ca2 0.8942 0.8942 0.3174
F1 0.5000 0.5000 0.5000

Calculated values
- M_tot: 0.81 μB per cell
- E above lowest polymorph: 496 meV/atom
- VASP energy: -3.14 eV/atom
- Formation energy from raw total energies: -92 kJ per mole of atoms
- Crystal system: trigonal

# 4
This record from Alexandria describes a relaxed Tb3As2Se2 crystal. The functional is PBE.

Cell: 4.1099 7.2917 8.1527 Å, 119.66 104.60 90.00°
Positions (direct):
Tb1 0.7250 0.2307 0.4500
Tb2 0.0000 0.5000 0.0000
Tb3 0.2750 0.7693 0.5500
As1 0.3618 0.2295 0.7237
As2 0.6382 0.7705 0.2763
Se1 0.1241 0.3107 0.2483
Se2 0.8759 0.6893 0.7517

Calculated values
- M_tot: 0.00 μB per cell
- VASP energy: -5.72 eV/atom
- Formation energy from raw total energies: -136 kJ per mole of atoms
- Crystal system: monoclinic

# 5
This record from Alexandria describes a relaxed Tb3Ce2SmTm6 crystal. The functional is PBE.

Cell: 6.0995 6.0995 11.6172 Å, 95.01 95.01 119.98°
Positions (direct):
Tm1 0.5811 0.9166 0.7507
Tm2 0.9166 0.5811 0.7507
Tm3 0.7476 0.7476 0.2493
Tm4 0.0834 0.4189 0.2493
Tm5 0.4189 0.0834 0.2493
Tm6 0.2524 0.2524 0.7507
Tb1 0.8339 0.1661 0.5000
Tb2 0.1661 0.8339 0.5000
Tb3 0.5000 0.5000 0.5000
Ce1 0.6667 0.3333 0.0000
Ce2 0.3333 0.6667 0.0000
Sm1 0.0000 0.0000 0.0000

Calculated values
- M_tot: 1.78 μB per cell
- ΔH_f (0 K): 0.05 eV per atom
- VASP energy: -4.73 eV/atom
- Crystal system: monoclinic

# 6
This record from Alexandria describes a relaxed CeDyTe2N crystal. The functional is PBE.

Cell: 4.1617 4.1617 15.8147 Å, 90.00 90.00 90.00°
Positions (direct):
Dy1 0.0000 0.5000 0.8673
Dy2 0.5000 0.0000 0.1327
Te1 0.5000 0.0000 0.3141
Te2 0.0000 0.5000 0.0832
Te3 0.0000 0.5000 0.6859
Te4 0.5000 0.0000 0.9168
Ce1 0.0000 0.5000 0.4335
Ce2 0.5000 0.0000 0.5665
N1 0.5000 0.5000 0.5000
N2 0.0000 0.0000 0.5000

Calculated values
- M_tot: 0.00 μB per cell
- VASP energy: -6.42 eV/atom
- Formation energy from raw total energies: -134 kJ per mole of atoms
- Crystal system: tetragonal

# 7
This record from Alexandria describes a relaxed Dy2PuPt crystal. The functional is PBE.

Cell: 3.7580 3.7580 9.6239 Å, 78.74 78.74 60.00°
Positions (direct):
Pt1 0.0000 0.0000 0.0000
Pu1 0.5000 0.5000 0.5000
Dy1 0.7303 0.7303 0.8092
Dy2 0.2697 0.2697 0.1908

Calculated values
- M_tot: 7.20 μB per cell
- E above lowest polymorph: 136 meV/atom
- ΔH_f (0 K): -0.38 eV per atom
- VASP energy: -7.78 eV/atom
- Crystal system: trigonal

# 8
This record from Alexandria describes a relaxed ScTcP2 crystal. The functional is PBE.

Cell: 4.3573 4.3573 4.3573 Å, 60.00 60.00 60.00°
Positions (direct):
P1 0.7500 0.7500 0.7500
P2 0.2500 0.2500 0.2500
Sc1 0.0000 0.0000 0.0000
Tc1 0.5000 0.5000 0.5000

Calculated values
- M_tot: 0.00 μB per cell
- E above lowest polymorph: 205 meV/atom
- ΔH_f (0 K): -0.64 eV per atom
- VASP energy: -7.52 eV/atom
- Crystal system: cubic

# 9
This record from Alexandria describes a relaxed TcMo2Cl crystal. The functional is PBE.

Cell: 4.5789 3.6983 3.6983 Å, 90.00 90.00 90.00°
Positions (direct):
Mo1 0.0000 0.5000 0.5000
Mo2 0.0000 0.0000 0.0000
Cl1 0.5000 0.0000 0.5000
Tc1 0.5000 0.5000 0.0000

Calculated values
- M_tot: 0.00 μB per cell
- E above lowest polymorph: 832 meV/atom
- VASP energy: -7.39 eV/atom
- Formation energy from raw total energies: 104 kJ per mole of atoms
- Crystal system: tetragonal

# 10
This record from Alexandria describes a relaxed Ta4CrFe3 crystal. The functional is PBE.

Cell: 3.0710 3.0710 12.2697 Å, 90.00 90.00 90.00°
Positions (direct):
Ta1 0.0000 0.0000 0.3751
Ta2 0.0000 0.0000 0.6249
Ta3 0.0000 0.0000 0.8758
Ta4 0.0000 0.0000 0.1242
Fe1 0.5000 0.5000 0.2518
Fe2 0.5000 0.5000 0.5000
Fe3 0.5000 0.5000 0.7482
Cr1 0.5000 0.5000 0.0000

Calculated values
- M_tot: 2.08 μB per cell
- ΔH_f (0 K): -0.14 eV per atom
- VASP energy: -10.44 eV/atom
- Crystal system: tetragonal

# 11
This record from Alexandria describes a relaxed Nd6Pb2N crystal. The functional is PBE.

Cell: 5.7531 7.0639 8.4090 Å, 114.84 110.09 90.00°
Positions (direct):
Nd1 0.8739 0.6258 0.7493
Nd2 0.1261 0.8764 0.2507
Nd3 0.5000 0.7530 0.0000
Nd4 0.8739 0.1236 0.7493
Nd5 0.5000 0.2470 0.0000
Nd6 0.1261 0.3742 0.2507
N1 0.0000 0.0000 0.0000
Pb1 0.6881 0.6868 0.3737
Pb2 0.3119 0.3132 0.6263

Calculated values
- M_tot: 0.01 μB per cell
- E above lowest polymorph: 385 meV/atom
- VASP energy: -5.11 eV/atom
- Formation energy from raw total energies: -18 kJ per mole of atoms
- Crystal system: monoclinic

# 12
This record from Alexandria describes a relaxed NaEr2Te3 crystal. The functional is PBE.

Cell: 4.3441 6.1836 7.6376 Å, 113.88 106.52 90.00°
Positions (direct):
Te1 0.8274 0.3274 0.1548
Te2 0.5000 0.0000 0.5000
Te3 0.1726 0.6726 0.8452
Na1 0.5000 0.5000 0.5000
Er1 0.8367 0.8367 0.1733
Er2 0.1633 0.1633 0.8267

Calculated values
- M_tot: 0.00 μB per cell
- E above lowest polymorph: 0 meV/atom
- VASP energy: -4.57 eV/atom
- Formation energy from raw total energies: -122 kJ per mole of atoms
- Crystal system: orthorhombic

Which of these has the highest VASP energy? Dy3ZnHg5

Look up the VASP energy of the ninth one. -7.39 eV/atom

Which formula does entry 3 have? Ca2AgF

Look up the VASP energy of the eighth one. -7.52 eV/atom